Below is crystalline Mo8Os7 at its relaxed geometry, with properties calculated at the PBE level.

The structure belongs to space group P4_2/mnm (No. 136); the cell edges are 9.6463, 9.6463 and 4.9386 Å and the angles 90.00°, 90.00° and 90.00°. Symmetry generates all atoms from Mo at (0.0389, 0.3667, 0.0000), Mo at (0.1788, 0.8212, 0.2496), Os at (0.0000, 0.0000, 0.5000), Os at (0.0701, 0.2639, 0.5000) and Os at (0.0970, 0.0970, 0.0000).

The total energy comes out at -10.97 eV per atom. The calculation puts the formation energy at 0.044 eV/atom.

Below is crystalline Mo2Os at its relaxed geometry, with properties calculated at the PBE level.

The structure belongs to space group Fd-3m (No. 227, origin choice 2); the cell edges are 7.2201, 7.2201 and 7.2201 Å and the angles 90.00°, 90.00° and 90.00°. Symmetry generates all atoms from Mo at (0.0000, 0.0000, 0.0000) and Os at (0.1250, 0.1250, 0.6250).

The total energy comes out at -10.59 eV per atom. The calculation puts the formation energy at 0.378 eV/atom.

Below is crystalline Mo2Os at its relaxed geometry, with properties calculated at the PBE level.

The structure belongs to space group C2/m (No. 12); the cell edges are 10.4106, 2.7944 and 6.6345 Å and the angles 90.00°, 105.91° and 90.00°. Symmetry generates all atoms from Mo at (0.1325, 0.0000, 0.0343), Mo at (0.1834, 0.0000, 0.6321) and Os at (0.0253, 0.5000, 0.3044).

The total energy comes out at -10.83 eV per atom. The calculation puts the formation energy at 0.136 eV/atom.

Below is crystalline Mo17Os12 at its relaxed geometry, with properties calculated at the PBE level.

The structure belongs to space group I-43m (No. 217); the cell edges are 9.6586, 9.6586 and 9.6586 Å and the angles 90.00°, 90.00° and 90.00°. Symmetry generates all atoms from Mo at (0.0000, 0.0000, 0.0000), Mo at (0.0387, 0.3554, 0.3554), Mo at (0.1748, 0.1748, 0.8252) and Os at (0.0913, 0.0913, 0.2827).

The total energy comes out at -10.99 eV per atom. The calculation puts the formation energy at 0.003 eV/atom.

Below is crystalline Mo2Os at its relaxed geometry, with properties calculated at the PBE level.

The structure belongs to space group Pa-3 (No. 205); the cell edges are 6.0450, 6.0450 and 6.0450 Å and the angles 90.00°, 90.00° and 90.00°. Symmetry generates all atoms from Mo at (0.1250, 0.1250, 0.1250) and Os at (0.0000, 0.0000, 0.5000).

The total energy comes out at -9.97 eV per atom. The calculation puts the formation energy at 0.991 eV/atom.

Below is crystalline Mo2Os at its relaxed geometry, with properties calculated at the PBE level.

The structure belongs to space group I4/mmm (No. 139); the cell edges are 2.7640, 2.7640 and 12.1639 Å and the angles 90.00°, 90.00° and 90.00°. Symmetry generates all atoms from Mo at (0.0000, 0.0000, 0.1584) and Os at (0.0000, 0.0000, 0.5000).

The total energy comes out at -10.86 eV per atom. The calculation puts the formation energy at 0.105 eV/atom.

Below is crystalline Mo6Os7 at its relaxed geometry, with properties calculated at the PBE level.

The structure belongs to space group R-3m (No. 166, hexagonal axes); the cell edges are 5.1153, 5.1153 and 26.8222 Å and the angles 90.00°, 90.00° and 120.00°. Symmetry generates all atoms from Mo at (0.0000, 0.0000, 0.0465), Mo at (0.0000, 0.0000, 0.1498), Mo at (0.0000, 0.0000, 0.3362), Os at (0.0000, 0.0000, 0.5000) and Os at (0.0075, 0.5037, 0.9120).

The total energy comes out at -10.90 eV per atom. The calculation puts the formation energy at 0.149 eV/atom.

Below is crystalline Mo2Os at its relaxed geometry, with properties calculated at the PBE level.

The structure belongs to space group Immm (No. 71); the cell edges are 3.7181, 4.6924 and 6.1418 Å and the angles 90.00°, 90.00° and 90.00°. Symmetry generates all atoms from Mo at (0.0000, 0.0000, 0.2122) and Os at (0.0000, 0.5000, 0.0000).

The total energy comes out at -10.38 eV per atom. The calculation puts the formation energy at 0.584 eV/atom.

Below is crystalline Mo2Os at its relaxed geometry, with properties calculated at the PBE level.

The structure belongs to space group Cmcm (No. 63); the cell edges are 2.7017, 15.0271 and 4.5792 Å and the angles 90.00°, 90.00° and 90.00°. Symmetry generates all atoms from Mo at (0.0000, 0.0534, 0.2500), Mo at (0.0000, 0.3774, 0.2500) and Os at (0.0000, 0.2785, 0.7500).

The total energy comes out at -10.75 eV per atom. The calculation puts the formation energy at 0.210 eV/atom.

Below is crystalline Mo2Os at its relaxed geometry, with properties calculated at the PBE level.

The structure belongs to space group I4_1/amd (No. 141, origin choice 2); the cell edges are 3.9231, 3.9231 and 24.0588 Å and the angles 90.00°, 90.00° and 90.00°. Symmetry generates all atoms from Mo at (0.0000, 0.2500, 0.1234), Mo at (0.0000, 0.2500, 0.7889) and Os at (0.0000, 0.2500, 0.2894).

The total energy comes out at -10.83 eV per atom. The calculation puts the formation energy at 0.130 eV/atom.

Below is crystalline Mo4Os3 at its relaxed geometry, with properties calculated at the PBE level.

The structure belongs to space group P6/mmm (No. 191); the cell edges are 5.1145, 5.1145 and 4.8381 Å and the angles 90.00°, 90.00° and 120.00°. Symmetry generates all atoms from Mo at (0.0000, 0.0000, 0.2412), Mo at (0.3333, 0.6667, 0.0000) and Os at (0.0000, 0.5000, 0.5000).

The total energy comes out at -10.89 eV per atom. The calculation puts the formation energy at 0.111 eV/atom.

Below is crystalline Mo2Os at its relaxed geometry, with properties calculated at the PBE level.

The structure belongs to space group Fm-3m (No. 225); the cell edges are 6.0202, 6.0202 and 6.0202 Å and the angles 90.00°, 90.00° and 90.00°. Symmetry generates all atoms from Mo at (0.2500, 0.2500, 0.2500) and Os at (0.0000, 0.0000, 0.0000).

The total energy comes out at -10.36 eV per atom. The calculation puts the formation energy at 0.607 eV/atom.